1.
Y3Zn: relaxed, PBEsol.

```
Y3Zn
1.0
3.625 0.000 0.000
0.000 5.183 0.000
-1.812 -2.591 5.604
Y Zn
3 1
direct
0.711 0.711 0.422
0.289 0.289 0.578
0.500 0.000 0.000
0.000 0.500 0.000
```

Values from the calculation:
For the mass density, the calculation gives 5.24 Mg/m³. As for the magnetic moment: 0.00 μB per formula unit. As for the total energy: -5.67 eV per atom. The calculation puts the formation energy at -0.16 eV/atom.

---

2.
YZn: relaxed, PBEsol.

```
YZn
1.0
-0.431 2.919 5.333
-3.479 -7.049 3.577
9.268 -3.282 2.545
Y Zn
12 12
direct
0.750 0.869 0.195
0.250 0.131 0.805
0.750 0.369 0.805
0.250 0.631 0.195
0.750 0.459 0.374
0.250 0.541 0.626
0.750 0.959 0.626
0.250 0.041 0.374
0.000 0.250 0.110
0.500 0.750 0.890
0.000 0.750 0.890
0.500 0.250 0.110
0.750 0.547 0.080
0.250 0.453 0.920
0.750 0.047 0.920
0.250 0.953 0.080
0.750 0.122 0.374
0.250 0.878 0.626
0.750 0.622 0.626
0.250 0.378 0.374
0.000 0.250 0.564
0.500 0.750 0.436
0.000 0.750 0.436
0.500 0.250 0.564
```

Values from the calculation:
For the mass density, the calculation gives 5.75 Mg/m³. As for the magnetic moment: 0.00 μB per formula unit. As for the total energy: -4.47 eV per atom. The calculation puts the formation energy at -0.27 eV/atom.

---

3.
Y2Zn: relaxed, PBEsol.

```
Y2Zn
1.0
5.862 0.009 0.000
-2.360 5.366 0.000
-1.751 -2.687 4.907
Y Zn
4 2
direct
0.675 0.825 0.500
0.825 0.325 0.151
0.175 0.675 0.849
0.325 0.175 0.500
0.750 0.750 0.000
0.250 0.250 0.000
```

Values from the calculation:
For the mass density, the calculation gives 5.23 Mg/m³. As for the magnetic moment: 0.88 μB per formula unit. As for the total energy: -5.24 eV per atom. The calculation puts the formation energy at -0.17 eV/atom.